Material: Be2Rh
Method: DFT, PBE-GGA
State: optimized geometry

CIF file:
```
data_Be2Rh
_cell_length_a 5.249
_cell_length_b 5.249
_cell_length_c 5.249
_cell_angle_alpha 90.00
_cell_angle_beta 90.00
_cell_angle_gamma 90.00
_space_group_name_H-M_alt 'F m -3 m'
_space_group_IT_number 225
_space_group_name_Hall '-F 4 2 3'
loop_
_atom_site_label
_atom_site_type_symbol
_atom_site_fract_x
_atom_site_fract_y
_atom_site_fract_z
_atom_site_occupancy
Be1 Be 0.250 0.250 0.250 1
Rh1 Rh 0.000 0.000 0.000 1
```

Output
- Calculated formation energy: -0.035 eV/atom
- Total moment: 0.000 μB/cell
- V: 144.66 Å³ per cell

---

Material: CeNd2Tm3As6
Method: DFT, PBE-GGA
State: optimized geometry

CIF file:
```
data_CeNd2Tm3As6
_cell_length_a 18.100
_cell_length_b 4.165
_cell_length_c 8.313
_cell_angle_alpha 90.00
_cell_angle_beta 103.09
_cell_angle_gamma 90.00
_space_group_name_H-M_alt 'C 1 2/m 1'
_space_group_IT_number 12
loop_
_space_group_symop_operation_xyz
'x,y,z'
'-x,-y,-z'
'-x,y,-z'
'x,-y,z'
'x+1/2,y+1/2,z'
'-x+1/2,-y+1/2,-z'
'-x+1/2,y+1/2,-z'
'x+1/2,-y+1/2,z'
loop_
_atom_site_label
_atom_site_type_symbol
_atom_site_fract_x
_atom_site_fract_y
_atom_site_fract_z
_atom_site_occupancy
Ce1 Ce 0.000 0.000 0.000 1
Nd1 Nd 0.167 0.500 0.335 1
Tm1 Tm 0.000 0.000 0.500 1
Tm2 Tm 0.168 0.500 0.833 1
As1 As 0.003 0.500 0.747 1
As2 As 0.164 0.000 0.591 1
As3 As 0.168 0.000 0.075 1
```

Output
- Calculated formation energy: -1.490 eV/atom
- Total moment: 1.080 μB/cell
- V: 610.47 Å³ per cell

---

Material: DyAl3Ir
Method: DFT, PBE-GGA
State: optimized geometry

CIF file:
```
data_DyAl3Ir
_cell_length_a 6.846
_cell_length_b 4.132
_cell_length_c 6.937
_cell_angle_alpha 90.00
_cell_angle_beta 105.46
_cell_angle_gamma 90.00
_space_group_name_H-M_alt 'P 1 21/m 1'
_space_group_IT_number 11
loop_
_space_group_symop_operation_xyz
'x,y,z'
'-x,-y,-z'
'-x,y+1/2,-z'
'x,-y+1/2,z'
loop_
_atom_site_label
_atom_site_type_symbol
_atom_site_fract_x
_atom_site_fract_y
_atom_site_fract_z
_atom_site_occupancy
Dy1 Dy 0.200 0.250 0.172 1
Al1 Al 0.079 0.250 0.649 1
Al2 Al 0.338 0.750 0.902 1
Al3 Al 0.348 0.750 0.517 1
Ir1 Ir 0.455 0.250 0.739 1
```

Output
- Calculated formation energy: -0.713 eV/atom
- Total moment: 0.000 μB/cell
- V: 189.16 Å³ per cell

---

Material: U2BiN
Method: DFT, PBE-GGA
State: optimized geometry

CIF file:
```
data_U2BiN
_cell_length_a 3.2931
_cell_length_b 3.2931
_cell_length_c 26.0173
_cell_angle_alpha 90.00
_cell_angle_beta 90.00
_cell_angle_gamma 120.00
_space_group_name_H-M_alt 'R -3 m'
_space_group_IT_number 166
_space_group_name_Hall '-R 3 2"'
loop_
_atom_site_label
_atom_site_type_symbol
_atom_site_fract_x
_atom_site_fract_y
_atom_site_fract_z
_atom_site_occupancy
U1 U 0.0000 0.0000 0.2227 1
Bi1 Bi 0.0000 0.0000 0.0000 1
N1 N 0.0000 0.0000 0.5000 1
```

Output
- Formation energy (no corrections): -0.5116 eV/atom
- Total moment: 10.995 μB/cell
- V: 244.34 Å³ per cell

---

Material: Fe3Br
Method: DFT, PBE-GGA
State: optimized geometry

CIF file:
```
data_Fe3Br
_cell_length_a 3.169
_cell_length_b 3.169
_cell_length_c 6.144
_cell_angle_alpha 90.00
_cell_angle_beta 90.00
_cell_angle_gamma 90.00
_space_group_name_H-M_alt 'P 4/m m m'
_space_group_IT_number 123
_space_group_name_Hall '-P 4 2'
loop_
_atom_site_label
_atom_site_type_symbol
_atom_site_fract_x
_atom_site_fract_y
_atom_site_fract_z
_atom_site_occupancy
Fe1 Fe 0.000 0.000 0.000 1
Fe2 Fe 0.500 0.500 0.195 1
Br1 Br 0.000 0.000 0.500 1
```

Output
- Formation energy (no corrections): 0.4144 eV/atom
- Total moment: 8.663 μB/cell
- V: 61.70 Å³ per cell
- ΔE to the lowest computed polymorph: 0.031 eV per atom

---

Material: HoH7Ru2
Method: DFT, PBE-GGA
State: optimized geometry

CIF file:
```
data_HoH7Ru2
_cell_length_a 5.578
_cell_length_b 8.334
_cell_length_c 3.544
_cell_angle_alpha 90.00
_cell_angle_beta 90.00
_cell_angle_gamma 90.00
_space_group_name_H-M_alt 'C m m m'
_space_group_IT_number 65
_space_group_name_Hall '-C 2 2'
loop_
_atom_site_label
_atom_site_type_symbol
_atom_site_fract_x
_atom_site_fract_y
_atom_site_fract_z
_atom_site_occupancy
Ho1 Ho 0.000 0.000 0.000 1
H1 H 0.000 0.291 0.000 1
H2 H 0.000 0.500 0.500 1
H3 H 0.199 0.130 0.500 1
Ru1 Ru 0.000 0.295 0.500 1
```

Output
- Raw total energy: -4.843 eV per atom
- Total moment: 0.000 μB/cell
- V: 164.76 Å³ per cell

---

Material: HfSc3In2
Method: DFT, PBE-GGA
State: optimized geometry

CIF file:
```
data_HfSc3In2
_cell_length_a 8.214
_cell_length_b 3.258
_cell_length_c 20.825
_cell_angle_alpha 90.00
_cell_angle_beta 90.00
_cell_angle_gamma 90.00
_space_group_name_H-M_alt 'P n m a'
_space_group_IT_number 62
loop_
_space_group_symop_operation_xyz
'x,y,z'
'-x,-y,-z'
'-x+1/2,-y,z+1/2'
'x+1/2,y,-z+1/2'
'x+1/2,-y+1/2,-z+1/2'
'-x+1/2,y+1/2,z+1/2'
'-x,y+1/2,-z'
'x,-y+1/2,z'
loop_
_atom_site_label
_atom_site_type_symbol
_atom_site_fract_x
_atom_site_fract_y
_atom_site_fract_z
_atom_site_occupancy
Hf1 Hf 0.005 0.250 0.063 1
Sc1 Sc 0.087 0.250 0.341 1
Sc2 Sc 0.187 0.750 0.468 1
Sc3 Sc 0.214 0.250 0.204 1
In1 In 0.104 0.250 0.809 1
In2 In 0.165 0.250 0.590 1
```

Output
- Calculated formation energy: -0.208 eV/atom
- Total moment: 2.065 μB/cell
- V: 557.32 Å³ per cell

---

Material: CsNi2Cl
Method: DFT, PBE-GGA
State: optimized geometry

CIF file:
```
data_CsNi2Cl
_cell_length_a 5.305
_cell_length_b 5.305
_cell_length_c 13.593
_cell_angle_alpha 90.00
_cell_angle_beta 90.00
_cell_angle_gamma 90.00
_space_group_name_H-M_alt 'I -4 2 d'
_space_group_IT_number 122
_space_group_name_Hall 'I -4 2bw'
loop_
_atom_site_label
_atom_site_type_symbol
_atom_site_fract_x
_atom_site_fract_y
_atom_site_fract_z
_atom_site_occupancy
Cs1 Cs 0.000 0.000 0.000 1
Ni1 Ni 0.003 0.250 0.625 1
Cl1 Cl 0.000 0.000 0.500 1
```

Output
- Formation energy (no corrections): 0.1396 eV/atom
- Total moment: 0.000 μB/cell
- V: 382.58 Å³ per cell

---

Material: PmSm7Tm4
Method: DFT, PBE-GGA
State: optimized geometry

CIF file:
```
data_PmSm7Tm4
_cell_length_a 6.257
_cell_length_b 7.224
_cell_length_c 8.898
_cell_angle_alpha 89.99
_cell_angle_beta 76.44
_cell_angle_gamma 89.95
_space_group_name_H-M_alt 'P -1'
_space_group_IT_number 2
loop_
_space_group_symop_operation_xyz
'x,y,z'
'-x,-y,-z'
loop_
_atom_site_label
_atom_site_type_symbol
_atom_site_fract_x
_atom_site_fract_y
_atom_site_fract_z
_atom_site_occupancy
Pm1 Pm 0.000 0.000 0.000 1
Sm1 Sm 0.000 0.500 0.000 1
Sm2 Sm 0.223 0.000 0.335 1
Sm3 Sm 0.280 0.252 0.664 1
Sm4 Sm 0.499 0.747 0.999 1
Tm1 Tm 0.219 0.500 0.336 1
Tm2 Tm 0.278 0.746 0.665 1
```

Output
- Calculated formation energy: 0.000 eV/atom
- Total moment: 0.000 μB/cell
- V: 390.94 Å³ per cell
- ΔE to the lowest computed polymorph: 0.000 eV per atom

---

Material: BaCdO
Method: DFT, PBE-GGA
State: optimized geometry

CIF file:
```
data_BaCdO
_cell_length_a 4.556
_cell_length_b 4.556
_cell_length_c 9.296
_cell_angle_alpha 90.00
_cell_angle_beta 90.00
_cell_angle_gamma 90.00
_space_group_name_H-M_alt 'P 4/n m m'
_space_group_IT_number 129
loop_
_space_group_symop_operation_xyz
'x,y,z'
'-x,-y,-z'
'-y+1/2,x,z'
'y+1/2,-x,-z'
'-x+1/2,-y+1/2,z'
'x+1/2,y+1/2,-z'
'y,-x+1/2,z'
'-y,x+1/2,-z'
'x+1/2,-y,-z'
'-x+1/2,y,z'
'-y,-x,-z'
'y,x,z'
'-x,y+1/2,-z'
'x,-y+1/2,z'
'y+1/2,x+1/2,-z'
'-y+1/2,-x+1/2,z'
loop_
_atom_site_label
_atom_site_type_symbol
_atom_site_fract_x
_atom_site_fract_y
_atom_site_fract_z
_atom_site_occupancy
Ba1 Ba 0.250 0.250 0.123 1
Cd1 Cd 0.250 0.250 0.547 1
O1 O 0.250 0.750 0.000 1
```

Output
- Formation energy (no corrections): -1.3761 eV/atom
- Total moment: 0.189 μB/cell
- V: 192.98 Å³ per cell
- ΔE to the lowest computed polymorph: 0.072 eV per atom

---

Material: Tb2PmHo6Er
Method: DFT, PBE-GGA
State: optimized geometry

CIF file:
```
data_Tb2PmHo6Er
_cell_length_a 9.023
_cell_length_b 14.980
_cell_length_c 9.529
_cell_angle_alpha 90.00
_cell_angle_beta 97.56
_cell_angle_gamma 90.00
_space_group_name_H-M_alt 'C 1 2/c 1'
_space_group_IT_number 15
loop_
_space_group_symop_operation_xyz
'x,y,z'
'-x,-y,-z'
'-x,y,-z+1/2'
'x,-y,z+1/2'
'x+1/2,y+1/2,z'
'-x+1/2,-y+1/2,-z'
'-x+1/2,y+1/2,-z+1/2'
'x+1/2,-y+1/2,z+1/2'
loop_
_atom_site_label
_atom_site_type_symbol
_atom_site_fract_x
_atom_site_fract_y
_atom_site_fract_z
_atom_site_occupancy
Tb1 Tb 0.250 0.052 0.045 1
Pm1 Pm 0.000 0.023 0.750 1
Ho1 Ho 0.064 0.188 0.443 1
Ho2 Ho 0.100 0.392 0.619 1
Ho3 Ho 0.207 0.225 0.816 1
Er1 Er 0.000 0.409 0.250 1
```

Output
- Calculated formation energy: 0.119 eV/atom
- Total moment: 0.000 μB/cell
- V: 1276.75 Å³ per cell

---

Material: CoRe2Si
Method: DFT, PBE-GGA
State: optimized geometry

CIF file:
```
data_CoRe2Si
_cell_length_a 3.771
_cell_length_b 3.771
_cell_length_c 7.407
_cell_angle_alpha 90.00
_cell_angle_beta 90.00
_cell_angle_gamma 90.00
_space_group_name_H-M_alt 'I 4/m m m'
_space_group_IT_number 139
_space_group_name_Hall '-I 4 2'
loop_
_atom_site_label
_atom_site_type_symbol
_atom_site_fract_x
_atom_site_fract_y
_atom_site_fract_z
_atom_site_occupancy
Co1 Co 0.000 0.000 0.000 1
Re1 Re 0.000 0.500 0.250 1
Si1 Si 0.000 0.000 0.500 1
```

Output
- Formation energy (no corrections): 0.0591 eV/atom
- Total moment: 0.001 μB/cell
- V: 105.33 Å³ per cell

---

Material: CaNb2Au
Method: DFT, PBE-GGA
State: optimized geometry

CIF file:
```
data_CaNb2Au
_cell_length_a 3.953
_cell_length_b 3.953
_cell_length_c 22.223
_cell_angle_alpha 90.00
_cell_angle_beta 90.00
_cell_angle_gamma 90.00
_space_group_name_H-M_alt 'I -4 2 d'
_space_group_IT_number 122
_space_group_name_Hall 'I -4 2bw'
loop_
_atom_site_label
_atom_site_type_symbol
_atom_site_fract_x
_atom_site_fract_y
_atom_site_fract_z
_atom_site_occupancy
Ca1 Ca 0.000 0.000 0.000 1
Nb1 Nb 0.231 0.250 0.625 1
Au1 Au 0.000 0.000 0.500 1
```

Output
- Calculated formation energy: 0.391 eV/atom
- Total moment: 0.000 μB/cell
- V: 347.22 Å³ per cell
- ΔE to the lowest computed polymorph: 0.000 eV per atom